Entry 1:
Computed, not measured: crystalline CaFe at its relaxed geometry at the PBE level of DFT.

**DFT total energy**: -4.88 eV/atom
**Space-group type**: Imm2
**ΔE_f**: 0.350 eV/atom

```
CaFe
1.0
3.4610 -2.8458 5.4804
1.6472 4.2737 5.3976
-4.9546 -3.0933 -3.9994
Ca Fe
3 3
direct
0.6932 0.7863 0.9069
0.1824 0.5000 0.6824
0.1206 0.2137 0.9069
0.4104 0.9079 0.5026
0.6666 0.5000 0.1666
0.5947 0.0921 0.5026
```



Entry 2:
Computed, not measured: crystalline Ca3Fe5 at its relaxed geometry at the PBE level of DFT.

**DFT total energy**: -5.56 eV/atom
**Space-group type**: P6_3/mcm
**ΔE_f**: 0.483 eV/atom

```
Ca3Fe5
1.0
-1.2105 6.4893 6.8813
-7.2837 -5.5547 -2.6499
1.1851 -3.0056 3.0428
Fe Ca
10 6
direct
0.1416 0.0000 0.2500
0.0000 0.8584 0.7500
0.1416 0.1416 0.7500
0.8584 0.0000 0.7500
0.3333 0.6667 0.0000
0.3333 0.6667 0.5000
0.0000 0.1416 0.2500
0.6667 0.3333 0.0000
0.6667 0.3333 0.5000
0.8584 0.8584 0.2500
0.3620 0.3620 0.2500
0.6380 0.6380 0.7500
0.3620 0.0000 0.7500
0.0000 0.3620 0.7500
0.6380 0.0000 0.2500
0.0000 0.6380 0.2500
```